Entry 1:
Below is a relaxed structure of PHPd2, with properties calculated at the GGA-PBE level.

The density of states at the Fermi level is 13.44 states/eV/cell. For the offset from the most stable computed form, the calculation gives 302 meV/atom.

The structure belongs to space group Fm-3m (No. 225); the cell edges are 5.7928, 5.7928 and 5.7928 Å and the angles 90.00°, 90.00° and 90.00°. Symmetry generates all atoms from P at (0.0000, 0.0000, 0.0000), H at (0.0000, 0.0000, 0.5000) and Pd at (0.2500, 0.2500, 0.2500).

---

Entry 2:
Below is a relaxed structure of Tl3C, with properties calculated at the GGA-PBE level.

The density of states at the Fermi level is 4.84 states/eV/cell. The energy relative to the elements is 1.45 eV per atom. For the offset from the most stable computed form, the calculation gives 860 meV/atom.

The structure belongs to space group Pm-3n (No. 223); the cell edges are 5.8945, 5.8945 and 5.8945 Å and the angles 90.00°, 90.00° and 90.00°. Symmetry generates all atoms from Tl at (0.0000, 0.2500, 0.5000) and C at (0.0000, 0.0000, 0.0000).

---

Entry 3:
Below is a relaxed structure of LaZrNi2, with properties calculated at the GGA-PBE level.

The density of states at the Fermi level is 8.27 states/eV/cell. The energy relative to the elements is -0.14 eV per atom.

The structure belongs to space group Imm2 (No. 44); the cell edges are 3.6116, 3.8077 and 12.1493 Å and the angles 90.00°, 90.00° and 90.00°. Symmetry generates all atoms from La at (0.0000, 0.0000, 0.0000), Zr at (0.0000, 0.5000, 0.2418), Ni at (0.0000, 0.0000, 0.3957) and Ni at (0.0000, 0.5000, 0.7558).

---

Entry 4:
Below is a relaxed structure of Ta2HgIrC, with properties calculated at the GGA-PBE level.

The density of states at the Fermi level is 4.13 states/eV/cell. The energy relative to the elements is 1.17 eV per atom. For the offset from the most stable computed form, the calculation gives 1061 meV/atom.

The structure belongs to space group P4/mmm (No. 123); the cell edges are 5.0827, 5.0827 and 3.7663 Å and the angles 90.00°, 90.00° and 90.00°. Symmetry generates all atoms from Ta at (0.0000, 0.5000, 0.0000), Hg at (0.0000, 0.0000, 0.5000), Ir at (0.5000, 0.5000, 0.0000) and C at (0.5000, 0.5000, 0.5000).

---

Entry 5:
Below is a relaxed structure of CdTe2Pb2, with properties calculated at the GGA-PBE level.

The density of states at the Fermi level is 0.94 states/eV/cell. For the offset from the most stable computed form, the calculation gives 0 meV/atom. The value obtained for the uncorrected formation energy is -0.13 eV/atom.

The structure belongs to space group P4/mbm (No. 127); the cell edges are 8.7919, 8.7919 and 4.2565 Å and the angles 90.00°, 90.00° and 90.00°. Symmetry generates all atoms from Cd at (0.0000, 0.0000, 0.0000), Te at (0.1558, 0.3442, 0.5000) and Pb at (0.1452, 0.6452, 0.0000).

---

Entry 6:
Below is a relaxed structure of Ca4CuPb, with properties calculated at the GGA-PBE level.

The density of states at the Fermi level is 24.02 states/eV/cell. The energy relative to the elements is 0.39 eV per atom.

The structure belongs to space group F-43m (No. 216); the cell edges are 9.4061, 9.4061 and 9.4061 Å and the angles 90.00°, 90.00° and 90.00°. Symmetry generates all atoms from Ca at (0.1255, 0.1255, 0.1255), Cu at (0.2500, 0.2500, 0.7500) and Pb at (0.0000, 0.0000, 0.5000).

---

Entry 7:
Below is a relaxed structure of Zr2NbTe, with properties calculated at the GGA-PBE level.

The density of states at the Fermi level is 15.93 states/eV/cell. The value obtained for the uncorrected formation energy is 0.25 eV/atom.

The structure belongs to space group I-42d (No. 122); the cell edges are 4.2333, 4.2333 and 20.5088 Å and the angles 90.00°, 90.00° and 90.00°. Symmetry generates all atoms from Zr at (0.2486, 0.2500, 0.1250), Nb at (0.0000, 0.0000, 0.5000) and Te at (0.0000, 0.0000, 0.0000).

---

Entry 8:
Below is a relaxed structure of CuAs2Cl, with properties calculated at the GGA-PBE level.

The density of states at the Fermi level is 2.11 states/eV/cell. For the offset from the most stable computed form, the calculation gives 181 meV/atom. The value obtained for the uncorrected formation energy is 0.01 eV/atom.

The structure belongs to space group Amm2 (No. 38); the cell edges are 3.6657, 5.1138 and 8.3473 Å and the angles 90.00°, 90.00° and 90.00°. Symmetry generates all atoms from Cu at (0.0000, 0.0000, 0.0000), As at (0.0000, 0.0000, 0.4478), As at (0.5000, 0.0000, 0.2390) and Cl at (0.5000, 0.0000, 0.7678).